Entry from Alexandria: a geometry-optimized CsZnAs3 structure (PBE).

The calculation puts the polymorph energy (0 for the lowest one) at 0.0000 eV per atom. The total magnetic moment is 0.000 μB/f.u. The calculation puts the formation energy at 334 meV per atom.

The space group is Pm-3m (No. 221) and the conventional cell measures 5.137, 5.137 and 5.137 Å, with angles of 90.00, 90.00 and 90.00 degrees. Symmetry generates all atoms from Cs at (0.000, 0.000, 0.000), Zn at (0.500, 0.500, 0.500) and As at (0.000, 0.500, 0.500).

Entry from Alexandria: a geometry-optimized CsZnAs structure (PBE).

The total magnetic moment is 0.000 μB/f.u. The calculation puts the formation energy at -304 meV per atom.

The space group is C2/m (No. 12) and the conventional cell measures 12.409, 6.138 and 5.832 Å, with angles of 90.00, 113.12 and 90.00 degrees. Symmetry generates all atoms from Cs at (0.187, 0.000, 0.156), Zn at (0.000, 0.204, 0.500) and As at (0.035, 0.500, 0.237).